[1]
SrSm2Er | PBE | relaxed

POSCAR file:
```
SrSm2Er
1.0
-2.266 3.501 3.171
3.036 -1.616 3.953
3.620 3.548 -1.330
Sr Sm Er
1 2 1
Cartesian
2.195 2.716 2.897
1.810 1.774 -0.665
1.518 -0.808 1.977
-1.133 1.750 1.586
```

Calculated values
ΔE_f = 0.190 eV per atom
DOS(E_F) = 1.677 states/eV per atom
Energy relative to the lowest polymorph listed for this composition = 79 meV per atom
Crystal system = tetragonal

[2]
Ba2In4Ag5 | PBE | relaxed

POSCAR file:
```
Ba2In4Ag5
1.0
-4.510 -4.442 0.439
0.963 -5.166 3.473
-5.570 1.832 7.169
Ba In Ag
2 4 5
Cartesian
-5.458 -3.283 2.426
-4.623 0.674 5.182
-5.965 -2.353 6.631
-3.153 -5.424 4.450
-2.093 -2.109 3.022
-7.025 -5.668 8.059
-2.255 -2.221 0.220
0.481 -2.583 1.736
-1.774 -4.804 1.956
-3.431 -2.778 5.431
-5.686 -4.999 5.651
```

Calculated values
ΔE_f = -0.227 eV per atom
DOS(E_F) = 0.539 states/eV per atom
Energy relative to the lowest polymorph listed for this composition = 0 meV per atom
Crystal system = orthorhombic

[3]
Pm3Er2Tm | PBE | relaxed

POSCAR file:
```
Pm3Er2Tm
1.0
7.201 0.000 0.000
0.000 6.243 -0.203
-3.601 -1.806 8.704
Pm Er Tm
6 4 2
Cartesian
6.282 1.561 -0.051
0.919 4.682 -0.152
-0.903 -0.445 2.910
2.698 1.760 5.693
0.903 2.676 2.808
4.504 4.881 5.592
4.491 2.700 2.780
2.710 -0.421 2.882
0.891 4.857 5.619
-0.891 1.736 5.721
4.480 4.682 -0.152
2.721 1.561 -0.051
```

Calculated values
ΔE_f = 0.007 eV per atom
DOS(E_F) = 1.280 states/eV per atom
Energy relative to the lowest polymorph listed for this composition = 0 meV per atom
Crystal system = monoclinic

[4]
MgIr2I | PBE | relaxed

POSCAR file:
```
MgIr2I
1.0
-0.999 -1.775 4.156
0.275 2.658 3.778
-3.858 1.296 2.203
I Mg Ir
1 1 2
Cartesian
-2.290 1.090 5.069
0.000 0.000 0.000
-1.145 0.545 2.534
-3.436 1.635 7.603
```

Calculated values
Uncorrected formation energy = 0.635 eV per atom
DOS(E_F) = 1.448 states/eV per atom
Energy relative to the lowest polymorph listed for this composition = 59 meV per atom
Crystal system = cubic

- Look up the DOS(E_F) of the third one.
  1.280 states/eV per atom

- Among the records above, which one has the highest energy relative to the lowest polymorph listed for this composition?
  SrSm2Er